[1]
# Pr4SmEr2Tm (PBE, optimized geometry)
# Calculated volume ... 268.6 Å³/cell
# Size of the total moment ... 0.00 μB per formula unit
# Calculated density ... 7.527 g/cm³
# ΔE_f ... 17 meV per atom
data_Pr4SmEr2Tm
_cell_length_a 5.177
_cell_length_b 5.153
_cell_length_c 11.311
_cell_angle_alpha 62.89
_cell_angle_beta 90.00
_cell_angle_gamma 90.00
_symmetry_space_group_name_H-M 'P 1'
_symmetry_Int_Tables_number 1
_symmetry_space_group_name_Hall 'P 1'
loop_
_atom_site_label
_atom_site_fract_x
_atom_site_fract_y
_atom_site_fract_z
_atom_site_occupancy
Pr1 0.500 0.747 0.253 1
Pr2 0.000 0.752 0.748 1
Pr3 0.500 0.253 0.747 1
Pr4 0.000 0.248 0.252 1
Er1 0.000 0.000 0.000 1
Er2 0.500 0.000 0.500 1
Sm1 0.500 0.500 0.000 1
Tm1 0.000 0.500 0.500 1


[2]
# PrSmEr2Tm5 (PBE, optimized geometry)
# Calculated volume ... 575.3 Å³/cell
# Size of the total moment ... 0.00 μB per formula unit
# Calculated density ... 8.488 g/cm³
# ΔE_f ... 287 meV per atom
data_PrSmEr2Tm5
_cell_length_a 8.896
_cell_length_b 8.896
_cell_length_c 9.614
_cell_angle_alpha 117.56
_cell_angle_beta 117.56
_cell_angle_gamma 90.00
_symmetry_space_group_name_H-M 'P 1'
_symmetry_Int_Tables_number 1
_symmetry_space_group_name_Hall 'P 1'
loop_
_atom_site_label
_atom_site_fract_x
_atom_site_fract_y
_atom_site_fract_z
_atom_site_occupancy
Pr1 0.250 0.250 0.500 1
Pr2 0.750 0.750 0.500 1
Tm1 0.000 0.000 0.000 1
Tm2 0.073 0.573 0.739 1
Tm3 0.166 0.073 0.739 1
Tm4 0.427 0.334 0.261 1
Tm5 0.334 0.834 0.261 1
Tm6 0.500 0.500 0.000 1
Tm7 0.927 0.427 0.261 1
Tm8 0.834 0.927 0.261 1
Tm9 0.666 0.166 0.739 1
Tm10 0.573 0.666 0.739 1
Sm1 0.750 0.250 0.500 1
Sm2 0.250 0.750 0.500 1
Er1 0.113 0.387 0.000 1
Er2 0.387 0.887 0.000 1
Er3 0.887 0.613 0.000 1
Er4 0.613 0.113 0.000 1